1.
DFT (PBE-GGA) results for Al2CrW after structural relaxation.

Lattice parameters (Å, degrees): 4.535 4.535 2.898 90.00 90.00 90.00
Space group P4/mmm (No. 123)
One atom of each set of equivalent atoms:
1 Al 0.000 0.500 0.000 (multiplicity 2)
2 Cr 0.000 0.000 0.500 (multiplicity 1)
3 W 0.500 0.500 0.500 (multiplicity 1)

Computed properties:
**Total moment**: 3.16 μB per cell
**ρ**: 8.07 g cm⁻³
**DFT total energy**: -7.40 eV per atom


2.
DFT (PBE-GGA) results for AlCrW2 after structural relaxation.

Lattice parameters (Å, degrees): 3.210 4.311 4.319 90.00 90.00 90.00
Space group Pmmm (No. 47)
One atom of each set of equivalent atoms:
1 Al 0.000 0.000 0.000 (multiplicity 1)
2 Cr 0.500 0.500 0.000 (multiplicity 1)
3 W 0.000 0.500 0.500 (multiplicity 1)
4 W 0.500 0.000 0.500 (multiplicity 1)

Computed properties:
**Total moment**: 1.78 μB per cell
**ρ**: 12.41 g cm⁻³
**DFT total energy**: -9.74 eV per atom


> Look up the ρ of the second one.

12.41 g cm⁻³